1.
Below is a relaxed structure of GdTmIrPd, with properties calculated at the PBE level.

a b c (Å): 6.914 6.914 6.914
angles (deg): 90.00 90.00 90.00
Space group F-43m (No. 216)
One atom of each set of equivalent atoms:
Gd 0.000 0.000 0.000 (multiplicity 4)
Tm 0.000 0.000 0.500 (multiplicity 4)
Ir 0.250 0.250 0.250 (multiplicity 4)
Pd 0.250 0.250 0.750 (multiplicity 4)

Computed properties:
The calculated formation energy comes out at -896 meV/atom. For the spin magnetization, the calculation gives 1.7472 μB/atom. For the density of states at the Fermi level, the calculation gives 6.77 states/eV/cell.

2.
Below is a relaxed structure of K2AcSe2O6, with properties calculated at the PBE level.

a b c (Å): 9.303 6.201 7.546
angles (deg): 90.00 112.71 90.00
Space group C2/m (No. 12)
One atom of each set of equivalent atoms:
K 0.198 0.000 0.120 (multiplicity 4)
Ac 0.000 0.000 0.500 (multiplicity 2)
Se 0.093 0.500 0.240 (multiplicity 4)
O 0.027 0.268 0.772 (multiplicity 8)
O 0.214 0.500 0.481 (multiplicity 4)

Computed properties:
For the spin magnetization, the calculation gives 0.0000 μB/atom. For the density of states at the Fermi level, the calculation gives 6.18 states/eV/cell. As for the raw formation energy: -1576 meV per atom.

Calculated total energy in eV per atom, matching the order above: -9.048, -5.487